No. 1
# Nd2GeRu GGA-PBE relaxed
# **Calculated total energy**: -0.228 Ha/atom
# **Fermi-level density of states**: 0.6184 states/eV per atom
# **Energy relative to the elements**: -355 meV per atom
data_Nd2GeRu
_symmetry_space_group_name_H-M 'P 4/m m m'
_symmetry_Int_Tables_number 123
_symmetry_space_group_name_Hall '-P 4 2'
_cell_length_a 4.8692
_cell_length_b 4.8692
_cell_length_c 3.8948
_cell_angle_alpha 90.00
_cell_angle_beta 90.00
_cell_angle_gamma 90.00
loop_
_atom_site_label
_atom_site_type_symbol
_atom_site_fract_x
_atom_site_fract_y
_atom_site_fract_z
Nd1 Nd 0.0000 0.5000 0.0000
Ge1 Ge 0.0000 0.0000 0.5000
Ru1 Ru 0.5000 0.5000 0.5000



No. 2
# LaTaW2 GGA-PBE relaxed
# **Calculated total energy**: -0.369 Ha/atom
# **Offset from the most stable computed form**: 0.249 eV/atom
# **Fermi-level density of states**: 1.0966 states/eV per atom
# **Energy relative to the elements**: 629 meV per atom
data_LaTaW2
_symmetry_space_group_name_H-M 'R 3 m'
_symmetry_Int_Tables_number 160
_symmetry_space_group_name_Hall 'R 3 -2"'
_cell_length_a 3.1056
_cell_length_b 3.1056
_cell_length_c 29.2718
_cell_angle_alpha 90.00
_cell_angle_beta 90.00
_cell_angle_gamma 120.00
loop_
_atom_site_label
_atom_site_type_symbol
_atom_site_fract_x
_atom_site_fract_y
_atom_site_fract_z
La1 La 0.0000 0.0000 0.0000
Ta1 Ta 0.0000 0.0000 0.7668
W1 W 0.0000 0.0000 0.2395
W2 W 0.0000 0.0000 0.5062



Question: Fermi-level density of states of number 1 (Nd2GeRu)?
Answer: 0.6184 states/eV per atom



Question: Which of these has the highest Fermi-level density of states?
Answer: LaTaW2